This record from the Open Quantum Materials Database describes crystalline PmSi2Ir2 at its relaxed geometry. The functional is GGA-PBE.

Cell lengths 10.3746, 10.3746, 10.3746 Å; angles 156.74, 156.74, 33.13 degrees
Positions (direct):
Ir 0.1882 0.1882 0.0000
Ir 0.8118 0.8118 0.0000
Ir 0.5000 0.0000 0.5000
Ir 0.0000 0.5000 0.5000
Pm 0.3766 0.3766 0.0000
Pm 0.6234 0.6234 0.0000
Si 0.0685 0.0685 0.0000
Si 0.9315 0.9315 0.0000
Si 0.7500 0.2500 0.5000
Si 0.2500 0.7500 0.5000

Results
Calculated density   11.2 g/cm3
Total magnetization   0.0 μB per cell
Total DFT energy (no corrections)   -7.65 eV/atom